Entry 1:
30
Lattice="6.1592 -3.5552 0.0000 6.1592 3.5552 0.0000 -0.0032 0.0000 18.5511" Properties=species:S:1:pos:R:3 comment="Na4Tb2Cl9 (PBE, optimized geometry)" raw_formation_energy_ev_per_atom=-1.9497 final_energy_ev_per_atom=-4.027 sg="C2/c (15)" rho_g_cm3=3.0 pbc="T T T"
Na 2.0520 0.0036 5.9766
Na 2.0483 0.0008 9.6219
Na 2.0500 -0.0008 0.3463
Na 2.0504 -0.0036 15.2522
Na 10.2647 0.0036 3.2990
Na 10.2652 0.0008 18.2049
Na 10.2668 -0.0008 8.9293
Na 10.2631 -0.0036 12.5745
Tb 6.1580 0.0037 2.9279
Tb 6.1564 -0.0037 12.2035
Tb 6.1588 0.0037 6.3477
Tb 6.1571 -0.0037 15.6233
Cl 4.2187 1.3119 1.6095
Cl 5.9922 2.3293 10.8851
Cl 4.0562 1.0279 7.6662
Cl 6.3213 2.3293 16.9416
Cl 6.1584 2.1879 4.6378
Cl 4.2590 1.0907 13.9125
Cl 8.0980 1.3119 7.6661
Cl 4.0546 -1.0279 16.9418
Cl 4.2606 -1.0907 4.6369
Cl 8.0545 1.0907 13.9143
Cl 8.2605 1.0279 1.6093
Cl 4.2171 -1.3119 10.8851
Cl 8.0561 -1.0907 4.6387
Cl 6.1568 -2.1879 13.9134
Cl 5.9938 -2.3293 1.6095
Cl 8.2589 -1.0279 10.8849
Cl 6.3230 -2.3293 7.6661
Cl 8.0964 -1.3119 16.9417

Entry 2:
11
Lattice="4.2220 -6.7060 0.0000 4.2220 6.7060 0.0000 -0.0196 0.0000 5.2060" Properties=species:S:1:pos:R:3 comment="NaTb2Cl8 (PBE, optimized geometry)" raw_formation_energy_ev_per_atom=-1.9091 final_energy_ev_per_atom=-4.214 sg="C2/m (12)" rho_g_cm3=3.5 pbc="T T T"
Na 0.0000 0.0000 0.0000
Tb 4.2122 2.6673 2.6030
Tb 4.2122 -2.6673 2.6030
Cl 1.6212 1.7930 2.6153
Cl 4.2220 3.2889 0.0000
Cl 1.6212 -1.7930 2.6153
Cl 4.2042 0.0000 1.2831
Cl 4.2201 0.0000 3.9229
Cl 6.8031 1.7930 2.5907
Cl 4.2220 -3.2889 0.0000
Cl 6.8031 -1.7930 2.5907

Entry 3:
11
Lattice="5.7501 -4.1922 0.0000 5.7501 4.1922 0.0000 -0.5000 0.0000 6.7591" Properties=species:S:1:pos:R:3 comment="Na2Tb2Cl7 (PBE, optimized geometry)" raw_formation_energy_ev_per_atom=-1.9166 relative_energy_ev_per_fu=0.20 final_energy_ev_per_atom=-4.173 sg="C2/m (12)" rho_g_cm3=3.1 pbc="T T T"
Na 5.7501 2.2081 0.0000
Na 5.7501 -2.2081 0.0000
Tb 2.8007 0.0000 3.8399
Tb 8.1996 0.0000 2.9192
Cl 3.0563 2.4662 4.9634
Cl 0.5513 0.0000 5.1184
Cl 7.9440 2.4662 1.7957
Cl 5.5002 0.0000 3.3795
Cl 3.0563 -2.4662 4.9634
Cl 10.4490 0.0000 1.6407
Cl 7.9440 -2.4662 1.7957

Q: Which formula does entry 1 have?
A: Na4Tb2Cl9